Record 1
An optimized crystal structure of ErNpPdRu, computed with PBE.

Calculated values
SG: F-43m (216)
Density of states at the Fermi level (states/eV/atom): 1.70
Energy (eV per formula unit): -33.19

Unit cell a=4.8421 b=4.8421 c=4.8421 alpha=60.00 beta=60.00 gamma=60.00
Element x y z (fractional)
Er1 0.0000 0.0000 0.0000
Np1 0.5000 0.5000 0.5000
Pd1 0.2500 0.2500 0.2500
Ru1 0.7500 0.7500 0.7500

=====

Record 2
An optimized crystal structure of Cr2CoAs, computed with PBE.

Calculated values
SG: I4/mmm (139)
Density of states at the Fermi level (states/eV/atom): 1.05
Energy (eV per formula unit): -30.96

Unit cell a=4.5909 b=4.5909 c=4.5909 alpha=135.31 beta=135.31 gamma=65.05
Element x y z (fractional)
Cr1 0.2500 0.7500 0.5000
Cr2 0.7500 0.2500 0.5000
Co1 0.0000 0.0000 0.0000
As1 0.5000 0.5000 0.0000

=====

Per-record ΔE_f, eV per atom: -0.303; 0.011
Per-record M_tot, Bohr magnetons per cell: 3.50; 0.53